(A)
The following is a PBE-GGA calculation of crystalline Li6Zn3Cu at its relaxed geometry, from Alexandria.

Properties
For the magnetic moment, the calculation gives 0.000 μB/atom. The value obtained for the density is 3.3 g/cm3. As for the symmetry: No. 11.

Cell and atoms, written as POSCAR:
```
Li6Zn3Cu
1.0
2.6600 0.0000 0.0000
0.0000 10.2029 -1.4661
0.0000 -0.2385 11.2650
Li Zn Cu
12 6 2
direct
0.2500 0.2163 0.2867 Li
0.2500 0.1838 0.9168 Li
0.2500 0.6571 0.8898 Li
0.2500 0.8790 0.5140 Li
0.7500 0.8162 0.0832 Li
0.7500 0.7419 0.2957 Li
0.7500 0.3429 0.1102 Li
0.7500 0.1210 0.4860 Li
0.2500 0.4969 0.3127 Li
0.7500 0.7837 0.7133 Li
0.2500 0.2581 0.7043 Li
0.7500 0.5031 0.6873 Li
0.2500 0.5754 0.0984 Zn
0.7500 0.6277 0.5032 Zn
0.2500 0.9310 0.8982 Zn
0.2500 0.3723 0.4968 Zn
0.7500 0.4246 0.9016 Zn
0.7500 0.0690 0.1018 Zn
0.7500 0.0305 0.7229 Cu
0.2500 0.9695 0.2771 Cu
```

***

(B)
The following is a PBE-GGA calculation of crystalline Li6Zn3Cu at its relaxed geometry, from Alexandria.

Properties
For the magnetic moment, the calculation gives 0.000 μB/atom. The value obtained for the density is 3.0 g/cm3. As for the symmetry: No. 58.

Cell and atoms, written as POSCAR:
```
Li6Zn3Cu
1.0
-3.6038 1.0623 2.5915
-4.4886 0.2895 -6.3606
-1.9991 -9.2055 0.9918
Li Cu Zn
12 2 6
direct
0.0000 0.3299 0.7608 Li
0.0000 0.6733 0.9100 Li
0.5000 0.8299 0.7392 Li
0.5000 0.8432 0.0850 Li
0.5000 0.8267 0.4100 Li
0.5000 0.1568 0.9150 Li
0.0000 0.6568 0.5850 Li
0.0000 0.3267 0.0900 Li
0.0000 0.3432 0.4150 Li
0.5000 0.1733 0.5900 Li
0.5000 0.1701 0.2608 Li
0.0000 0.6701 0.2392 Li
0.0000 0.0000 0.0000 Cu
0.5000 0.5000 0.5000 Cu
0.0000 0.0055 0.2470 Zn
0.5000 0.4945 0.7470 Zn
0.5000 0.5000 0.0000 Zn
0.5000 0.5055 0.2530 Zn
0.0000 0.0000 0.5000 Zn
0.0000 0.9945 0.7530 Zn
```

***

Which structure loses on stability? (A) does.

***

(A)
The following is a PBE-GGA calculation of crystalline LiZn4Cu5 at its relaxed geometry, from Alexandria.

Properties
For the magnetic moment, the calculation gives 0.000 μB/atom. The value obtained for the density is 6.9 g/cm3. As for the symmetry: No. 79.

Cell and atoms, written as POSCAR:
```
LiZn4Cu5
1.0
5.0955 0.0000 0.0000
2.5478 5.2538 0.0000
2.5478 0.0000 5.2538
Zn Cu Li
4 5 1
direct
0.1309 0.2663 0.3882 Zn
0.7855 0.7337 0.6118 Zn
0.5191 0.6118 0.2663 Zn
0.3973 0.3882 0.7337 Zn
0.0645 0.6441 0.1191 Cu
0.8277 0.3559 0.8809 Cu
0.6692 0.0000 0.0000 Cu
0.1837 0.8809 0.6441 Cu
0.7086 0.1191 0.3559 Cu
0.2237 0.0000 0.0000 Li
```

***

(B)
The following is a PBE-GGA calculation of crystalline LiZn4Cu5 at its relaxed geometry, from Alexandria.

Properties
For the magnetic moment, the calculation gives 0.000 μB/atom. The value obtained for the density is 7.6 g/cm3. As for the symmetry: No. 2.

Cell and atoms, written as POSCAR:
```
LiZn4Cu5
1.0
3.8526 -0.0265 -1.3380
-0.5404 4.8294 -1.4963
0.1918 -0.1456 6.9193
Cu Zn Li
5 4 1
direct
0.0996 0.3977 0.1945 Cu
0.9004 0.6023 0.8055 Cu
0.2996 0.1993 0.6023 Cu
0.7004 0.8007 0.3977 Cu
0.5000 0.5000 0.0000 Cu
0.3000 0.6951 0.5999 Zn
0.8990 0.1036 0.7992 Zn
0.7000 0.3049 0.4001 Zn
0.1010 0.8964 0.2008 Zn
0.5000 0.0000 0.0000 Li
```

***

Which structure loses on stability? (A) does.

***

(A)
The following is a PBE-GGA calculation of crystalline Li5Zn2Cu4 at its relaxed geometry, from Alexandria.

Properties
For the magnetic moment, the calculation gives 0.000 μB/atom. The value obtained for the density is 4.2 g/cm3. As for the symmetry: No. 71.

Cell and atoms, written as POSCAR:
```
Li5Zn2Cu4
1.0
2.5510 0.0000 0.0000
0.0000 7.6315 0.0000
-1.2755 -3.8157 8.5267
Li Cu Zn
5 4 2
direct
0.1469 0.9346 0.2939 Li
0.8531 0.6407 0.7061 Li
0.8531 0.0654 0.7061 Li
0.1469 0.3593 0.2939 Li
0.5000 0.0000 0.0000 Li
0.0000 0.2934 0.0000 Cu
0.5863 0.5863 0.1726 Cu
0.4137 0.4137 0.8274 Cu
0.0000 0.7066 0.0000 Cu
0.2684 0.2684 0.5369 Zn
0.7316 0.7316 0.4631 Zn
```

***

(B)
The following is a PBE-GGA calculation of crystalline Li5Zn2Cu4 at its relaxed geometry, from Alexandria.

Properties
For the magnetic moment, the calculation gives 0.000 μB/atom. The value obtained for the density is 4.5 g/cm3. As for the symmetry: No. 12.

Cell and atoms, written as POSCAR:
```
Li5Zn2Cu4
1.0
5.0758 0.6404 1.5505
2.3609 4.5387 1.5505
0.4214 0.2935 7.3559
Li Zn Cu
5 2 4
direct
0.7382 0.2480 0.1932 Li
0.0000 0.0000 0.5000 Li
0.2480 0.7382 0.1932 Li
0.2618 0.7520 0.8068 Li
0.7520 0.2618 0.8068 Li
0.2264 0.2264 0.9099 Zn
0.7736 0.7736 0.0901 Zn
0.2475 0.2475 0.2345 Cu
0.2769 0.2769 0.5567 Cu
0.7231 0.7231 0.4433 Cu
0.7525 0.7525 0.7655 Cu
```

***

Which structure loses on stability? (B) does.

***

(A)
The following is a PBE-GGA calculation of crystalline Li7Zn3Cu at its relaxed geometry, from Alexandria.

Properties
For the magnetic moment, the calculation gives 0.000 μB/atom. The value obtained for the density is 2.9 g/cm3. As for the symmetry: No. 63.

Cell and atoms, written as POSCAR:
```
Li7Zn3Cu
1.0
2.6720 0.0000 0.0000
-1.3360 10.7384 0.0000
0.0000 0.0000 12.4919
Li Zn Cu
14 6 2
direct
0.2771 0.5542 0.3949 Li
0.5518 0.1036 0.1339 Li
0.4482 0.8964 0.6339 Li
0.4482 0.8964 0.8661 Li
0.5837 0.1673 0.9094 Li
0.5837 0.1673 0.5906 Li
0.2771 0.5542 0.1051 Li
0.7229 0.4458 0.8949 Li
0.7229 0.4458 0.6051 Li
0.6764 0.3528 0.2500 Li
0.4163 0.8327 0.0906 Li
0.5518 0.1036 0.3661 Li
0.3236 0.6472 0.7500 Li
0.4163 0.8327 0.4094 Li
0.1558 0.3117 0.0562 Zn
0.8500 0.6999 0.2500 Zn
0.1500 0.3001 0.7500 Zn
0.1558 0.3117 0.4438 Zn
0.8442 0.6883 0.9438 Zn
0.8442 0.6883 0.5562 Zn
0.0311 0.0621 0.7500 Cu
0.9689 0.9379 0.2500 Cu
```

***

(B)
The following is a PBE-GGA calculation of crystalline Li7Zn3Cu at its relaxed geometry, from Alexandria.

Properties
For the magnetic moment, the calculation gives 0.000 μB/atom. The value obtained for the density is 2.8 g/cm3. As for the symmetry: No. 156.

Cell and atoms, written as POSCAR:
```
Li7Zn3Cu
1.0
6.8290 0.0000 0.0000
0.0000 5.5561 0.0000
0.0000 -2.7781 4.8118
Zn Li Cu
3 7 1
direct
0.7777 0.4973 0.9946 Zn
0.7777 0.0054 0.5027 Zn
0.7777 0.4973 0.5027 Zn
0.0960 0.6667 0.3333 Li
0.4601 0.8339 0.1661 Li
0.1137 0.6576 0.8288 Li
0.1137 0.1712 0.8288 Li
0.4601 0.3323 0.1661 Li
0.1137 0.1712 0.3424 Li
0.4601 0.8339 0.6677 Li
0.4647 0.3333 0.6667 Cu
```

***

Which structure loses on stability? (B) does.

***

(A)
The following is a PBE-GGA calculation of crystalline LiZn5Cu4 at its relaxed geometry, from Alexandria.

Properties
For the magnetic moment, the calculation gives 0.000 μB/atom. The value obtained for the density is 6.8 g/cm3. As for the symmetry: No. 79.

Cell and atoms, written as POSCAR:
```
LiZn5Cu4
1.0
4.9572 0.0000 0.0000
2.4786 5.3998 0.0000
2.4786 0.0000 5.3998
Cu Zn Li
4 5 1
direct
0.2097 0.1117 0.3742 Cu
0.3214 0.3742 0.8883 Cu
0.6956 0.8883 0.6258 Cu
0.5839 0.6258 0.1117 Cu
0.0149 0.5988 0.2763 Zn
0.8900 0.4012 0.7237 Zn
0.7086 0.0000 0.0000 Zn
0.6137 0.2763 0.4012 Zn
0.2912 0.7237 0.5988 Zn
0.1815 0.0000 0.0000 Li
```

***

(B)
The following is a PBE-GGA calculation of crystalline LiZn5Cu4 at its relaxed geometry, from Alexandria.

Properties
For the magnetic moment, the calculation gives 0.000 μB/atom. The value obtained for the density is 7.4 g/cm3. As for the symmetry: No. 123.

Cell and atoms, written as POSCAR:
```
LiZn5Cu4
1.0
-0.5103 2.2898 -1.9037
-1.9687 1.1897 1.9587
10.7215 7.5404 6.1960
Cu Li Zn
4 1 5
direct
0.0000 0.0000 0.7972 Cu
0.0000 0.0000 0.5992 Cu
0.0000 0.0000 0.2028 Cu
0.0000 0.0000 0.4008 Cu
0.0000 0.0000 0.0000 Li
0.5000 0.5000 0.3016 Zn
0.5000 0.5000 0.1053 Zn
0.5000 0.5000 0.8947 Zn
0.5000 0.5000 0.5000 Zn
0.5000 0.5000 0.6984 Zn
```

***

Which structure loses on stability? (A) does.

***

(A)
The following is a PBE-GGA calculation of crystalline Li2Zn4Cu5 at its relaxed geometry, from Alexandria.

Properties
For the magnetic moment, the calculation gives 0.000 μB/atom. The value obtained for the density is 6.4 g/cm3. As for the symmetry: No. 12.

Cell and atoms, written as POSCAR:
```
Li2Zn4Cu5
1.0
4.9780 0.0000 0.0000
2.4890 5.0661 -0.2610
2.4890 0.9607 6.0618
Zn Cu Li
4 5 2
direct
0.2475 0.0443 0.4606 Zn
0.7525 0.9557 0.5394 Zn
0.7487 0.6097 0.8930 Zn
0.2513 0.3903 0.1070 Zn
0.0000 0.5000 0.5000 Cu
0.7635 0.1612 0.8247 Cu
0.2365 0.8388 0.1753 Cu
0.7495 0.8388 0.1753 Cu
0.2505 0.1612 0.8247 Cu
0.6651 0.3772 0.2926 Li
0.3349 0.6228 0.7074 Li
```

***

(B)
The following is a PBE-GGA calculation of crystalline Li2Zn4Cu5 at its relaxed geometry, from Alexandria.

Properties
For the magnetic moment, the calculation gives 0.000 μB/atom. The value obtained for the density is 6.9 g/cm3. As for the symmetry: No. 2.

Cell and atoms, written as POSCAR:
```
Li2Zn4Cu5
1.0
3.7424 0.0068 -1.0785
-0.3228 5.8918 -1.1480
-0.1127 -0.8851 6.7097
Li Cu Zn
2 5 4
direct
0.5899 0.4547 0.1808 Li
0.4101 0.5453 0.8192 Li
0.0454 0.7327 0.0903 Cu
0.9546 0.2673 0.9097 Cu
0.2242 0.6395 0.4509 Cu
0.5000 0.0000 0.0000 Cu
0.7758 0.3605 0.5491 Cu
0.3229 0.0973 0.6461 Zn
0.1367 0.1934 0.2729 Zn
0.6771 0.9027 0.3539 Zn
0.8633 0.8066 0.7271 Zn
```

***

Which structure loses on stability? (A) does.

***

(A)
The following is a PBE-GGA calculation of crystalline LiZn8Cu2 at its relaxed geometry, from Alexandria.

Properties
For the magnetic moment, the calculation gives 0.000 μB/atom. The value obtained for the density is 6.6 g/cm3. As for the symmetry: No. 12.

Cell and atoms, written as POSCAR:
```
LiZn8Cu2
1.0
-2.2782 -1.5856 -3.7397
6.3425 -0.8889 -1.9507
-2.6932 -3.8175 4.7954
Zn Cu Li
8 2 1
direct
0.8345 0.9060 0.6817 Zn
0.1655 0.0940 0.3183 Zn
0.2877 0.5874 0.5874 Zn
0.5000 0.7717 0.2283 Zn
0.8345 0.6817 0.9060 Zn
0.5000 0.2283 0.7717 Zn
0.7123 0.4126 0.4126 Zn
0.1655 0.3183 0.0940 Zn
0.0000 0.6982 0.3018 Cu
0.0000 0.3018 0.6982 Cu
0.5000 0.0000 0.0000 Li
```

***

(B)
The following is a PBE-GGA calculation of crystalline LiZn8Cu2 at its relaxed geometry, from Alexandria.

Properties
For the magnetic moment, the calculation gives 0.000 μB/atom. The value obtained for the density is 7.0 g/cm3. As for the symmetry: No. 12.

Cell and atoms, written as POSCAR:
```
LiZn8Cu2
1.0
3.8198 0.0000 -1.0173
-0.4420 5.9330 -1.6596
-0.1849 -0.3291 6.9857
Zn Cu Li
8 2 1
direct
0.6835 0.9136 0.3671 Zn
0.3165 0.0864 0.6329 Zn
0.9515 0.2673 0.9029 Zn
0.1381 0.1989 0.2761 Zn
0.5966 0.4682 0.1931 Zn
0.0485 0.7327 0.0971 Zn
0.8619 0.8011 0.7239 Zn
0.4034 0.5318 0.8069 Zn
0.7666 0.3542 0.5331 Cu
0.2334 0.6458 0.4669 Cu
0.5000 0.0000 0.0000 Li
```

***

Which structure loses on stability? (A) does.

***

(A)
The following is a PBE-GGA calculation of crystalline LiZnCu at its relaxed geometry, from Alexandria.

Properties
For the magnetic moment, the calculation gives 0.000 μB/atom. The value obtained for the density is 5.5 g/cm3. As for the symmetry: No. 42.

Cell and atoms, written as POSCAR:
```
LiZnCu
1.0
-5.8697 -3.0990 1.8070
-5.2472 -4.0880 -0.5326
0.6177 -1.5499 2.0138
Li Cu Zn
1 1 1
direct
0.6633 0.6633 0.3367 Li
0.0010 0.0010 0.9990 Cu
0.3356 0.3356 0.6644 Zn
```

***

(B)
The following is a PBE-GGA calculation of crystalline LiZnCu at its relaxed geometry, from Alexandria.

Properties
For the magnetic moment, the calculation gives 0.000 μB/atom. The value obtained for the density is 5.5 g/cm3. As for the symmetry: No. 11.

Cell and atoms, written as POSCAR:
```
LiZnCu
1.0
-0.0604 -1.9847 1.6476
3.9060 -0.3288 -0.2529
0.9001 7.3930 4.2908
Li Cu Zn
2 2 2
direct
0.1870 0.2500 0.9122 Li
0.8130 0.7500 0.0878 Li
0.4708 0.2500 0.2550 Cu
0.5292 0.7500 0.7450 Cu
0.1402 0.7500 0.4064 Zn
0.8598 0.2500 0.5936 Zn
```

***

Which structure loses on stability? (A) does.